# 1
{
  "formula": "ZnCdTc",
  "functional": "PBE",
  "state": "relaxed",
  "lattice_angstrom": [[2.983, 0.000, 0.000], [0.000, 2.983, 0.000], [0.000, 0.000, 11.536]],
  "species": ["Zn", "Zn", "Cd", "Cd", "Tc", "Tc"],
  "fractional_positions": [[0.250, 0.250, 0.214], [0.750, 0.750, 0.786], [0.250, 0.250, 0.605], [0.750, 0.750, 0.395], [0.250, 0.250, 0.936], [0.750, 0.750, 0.064]],
  "e_above_lowest_polymorph_ev_per_fu": 0.000,
  "formation_energy_ev_per_fu": 0.1,
  "m_tot_mub_per_atom": 0.000,
  "sg": "P4/nmm (129)"
}

# 2
{
  "formula": "HfIr3F",
  "functional": "PBE",
  "state": "relaxed",
  "lattice_angstrom": [[4.898, 0.000, 0.000], [0.000, 4.898, 0.000], [0.000, 0.000, 4.898]],
  "species": ["Hf", "Ir", "Ir", "Ir", "F"],
  "fractional_positions": [[0.000, 0.000, 0.000], [0.000, 0.000, 0.500], [0.000, 0.500, 0.000], [0.500, 0.000, 0.000], [0.500, 0.500, 0.500]],
  "e_above_lowest_polymorph_ev_per_fu": 5.978,
  "raw_formation_energy_kj_per_mol_fu": 814,
  "m_tot_mub_per_atom": 0.511,
  "sg": "Pm-3m (221)"
}

# 3
{
  "formula": "FeSi2Cl",
  "functional": "PBE",
  "state": "relaxed",
  "lattice_angstrom": [[2.193, -3.591, 0.000], [2.193, 3.591, 0.000], [0.000, 0.000, 4.443]],
  "species": ["Fe", "Si", "Si", "Cl"],
  "fractional_positions": [[0.000, 0.000, 0.000], [0.168, 0.832, 0.500], [0.832, 0.168, 0.500], [0.500, 0.500, 0.000]],
  "e_above_lowest_polymorph_ev_per_fu": 0.619,
  "raw_formation_energy_kj_per_mol_fu": 97,
  "m_tot_mub_per_atom": 0.512,
  "sg": "Cmmm (65)"
}

# 4
{
  "formula": "Nd2PaTc2N6",
  "functional": "PBE",
  "state": "relaxed",
  "lattice_angstrom": [[2.875, 1.660, 5.913], [-2.875, 1.660, 5.913], [0.000, -3.319, 5.913]],
  "species": ["Nd", "Nd", "Pa", "Tc", "Tc", "N", "N", "N", "N", "N", "N"],
  "fractional_positions": [[0.209, 0.209, 0.209], [0.791, 0.791, 0.791], [0.000, 0.000, 0.000], [0.397, 0.397, 0.397], [0.603, 0.603, 0.603], [0.222, 0.747, 0.747], [0.253, 0.253, 0.778], [0.253, 0.778, 0.253], [0.747, 0.222, 0.747], [0.747, 0.747, 0.222], [0.778, 0.253, 0.253]],
  "raw_formation_energy_kj_per_mol_fu": -758,
  "m_tot_mub_per_atom": 0.000,
  "sg": "R-3m (166)"
}

# 5
{
  "formula": "KAlBiB2",
  "functional": "PBE",
  "state": "relaxed",
  "lattice_angstrom": [[4.448, 0.000, 0.000], [0.000, 4.448, 0.000], [0.000, 0.000, 5.488]],
  "species": ["K", "Al", "Bi", "B", "B"],
  "fractional_positions": [[0.000, 0.000, 0.000], [0.000, 0.000, 0.500], [0.500, 0.500, 0.000], [0.000, 0.500, 0.500], [0.500, 0.000, 0.500]],
  "formation_energy_ev_per_fu": 7.2,
  "m_tot_mub_per_atom": 0.000,
  "sg": "P4/mmm (123)"
}

# 6
{
  "formula": "InReSe2F",
  "functional": "PBE",
  "state": "relaxed",
  "lattice_angstrom": [[4.972, 0.000, 0.000], [0.000, 4.972, 0.000], [0.000, 0.000, 4.189]],
  "species": ["In", "Re", "Se", "Se", "F"],
  "fractional_positions": [[0.000, 0.000, 0.000], [0.500, 0.500, 0.500], [0.000, 0.500, 0.500], [0.500, 0.000, 0.500], [0.500, 0.500, 0.000]],
  "raw_formation_energy_kj_per_mol_fu": -140,
  "m_tot_mub_per_atom": 0.000,
  "sg": "P4/mmm (123)"
}

# 7
{
  "formula": "Li2ZnAu2",
  "functional": "PBE",
  "state": "relaxed",
  "lattice_angstrom": [[4.168, -2.028, 0.000], [4.168, 2.028, 0.000], [-3.733, 0.000, 4.632]],
  "species": ["Li", "Li", "Zn", "Au", "Au"],
  "fractional_positions": [[0.195, 0.195, 0.106], [0.805, 0.805, 0.894], [0.000, 0.000, 0.500], [0.411, 0.411, 0.703], [0.589, 0.589, 0.297]],
  "e_above_lowest_polymorph_ev_per_fu": 0.000,
  "formation_energy_ev_per_fu": -2.2,
  "m_tot_mub_per_atom": 0.000,
  "sg": "C2/m (12)"
}

# 8
{
  "formula": "ZrSb2Rh",
  "functional": "PBE",
  "state": "relaxed",
  "lattice_angstrom": [[3.364, 0.000, 0.000], [0.000, 3.364, 0.000], [0.000, 0.000, 7.217]],
  "species": ["Zr", "Sb", "Sb", "Rh"],
  "fractional_positions": [[0.000, 0.000, 0.000], [0.500, 0.500, 0.274], [0.500, 0.500, 0.726], [0.000, 0.000, 0.500]],
  "raw_formation_energy_kj_per_mol_fu": -99,
  "m_tot_mub_per_atom": 0.000,
  "sg": "P4/mmm (123)"
}

# 9
{
  "formula": "Ba2TaRh",
  "functional": "PBE",
  "state": "relaxed",
  "lattice_angstrom": [[3.095, -5.188, 0.000], [3.095, 5.188, 0.000], [0.000, 0.000, 3.358]],
  "species": ["Ba", "Ba", "Ta", "Rh"],
  "fractional_positions": [[0.000, 0.500, 0.000], [0.500, 0.000, 0.000], [0.000, 0.000, 0.500], [0.500, 0.500, 0.500]],
  "e_above_lowest_polymorph_ev_per_fu": 3.047,
  "formation_energy_ev_per_fu": 3.9,
  "m_tot_mub_per_atom": 0.000,
  "sg": "Cmmm (65)"
}

# 10
{
  "formula": "LuMnHgPt",
  "functional": "PBE",
  "state": "relaxed",
  "lattice_angstrom": [[0.000, 3.383, 3.383], [3.383, 0.000, 3.383], [3.383, 3.383, 0.000]],
  "species": ["Lu", "Mn", "Hg", "Pt"],
  "fractional_positions": [[0.000, 0.000, 0.000], [0.500, 0.500, 0.500], [0.250, 0.250, 0.250], [0.750, 0.750, 0.750]],
  "formation_energy_ev_per_fu": -1.7,
  "m_tot_mub_per_atom": 1.056,
  "sg": "F-43m (216)"
}

# 11
{
  "formula": "KAu2Br",
  "functional": "PBE",
  "state": "relaxed",
  "lattice_angstrom": [[3.886, 0.000, 0.000], [0.000, 3.814, 0.000], [-1.692, 0.000, 7.472]],
  "species": ["K", "Au", "Au", "Br"],
  "fractional_positions": [[0.000, 0.000, 0.000], [0.277, 0.500, 0.620], [0.749, 0.000, 0.555], [0.592, 0.500, 0.213]],
  "e_above_lowest_polymorph_ev_per_fu": 0.000,
  "raw_formation_energy_kj_per_mol_fu": -176,
  "m_tot_mub_per_atom": 0.000,
  "sg": "Pm (6)"
}

# 12
{
  "formula": "CaIrW2",
  "functional": "PBE",
  "state": "relaxed",
  "lattice_angstrom": [[-1.933, 1.933, 4.712], [1.933, -1.933, 4.712], [1.933, 1.933, -4.712]],
  "species": ["Ca", "Ir", "W", "W"],
  "fractional_positions": [[0.000, 0.000, 0.000], [0.500, 0.500, 0.000], [0.250, 0.750, 0.500], [0.750, 0.250, 0.500]],
  "e_above_lowest_polymorph_ev_per_fu": 1.163,
  "formation_energy_ev_per_fu": 2.3,
  "m_tot_mub_per_atom": 0.000,
  "sg": "I4/mmm (139)"
}